Here is a relaxed CuTeAuI2 crystal from the Alexandria database. Energies are from GGA-PBE.

a = 5.348 Å, b = 5.348 Å, c = 5.223 Å
α = 90.00°, β = 90.00°, γ = 90.00°
Space group P4/mmm (No. 123)
Symmetry-distinct sites (fractional):
Cu 0.000 0.000 0.000
Te 0.000 0.000 0.500
Au 0.500 0.500 0.500
I 0.000 0.500 0.000

Properties
For the density of states at the Fermi level, the calculation gives 6.3 states/eV/f.u. Its crystal system is tetragonal. For the total magnetization, the calculation gives 0.00 μB per cell. The calculated volume is 149.4 Å³ per cell. The value obtained for the excess energy over the best structure of this formula in the dataset is 0.000 eV/atom.


Here is a relaxed Tl2CuAuI6 crystal from the Alexandria database. Energies are from GGA-PBE.

a = 10.507 Å, b = 10.493 Å, c = 8.847 Å
α = 90.00°, β = 126.37°, γ = 90.00°
Space group Cm (No. 8)
Symmetry-distinct sites (fractional):
Tl 0.000 0.249 0.000
Cu 0.005 0.000 0.512
Au 0.489 0.000 0.479
I 0.179 0.000 0.371
I 0.187 0.000 0.876
I 0.190 0.500 0.370
I 0.195 0.500 0.889
I 0.434 0.256 0.370

Properties
As for the total energy: -2.3753 eV/atom. For the density of states at the Fermi level, the calculation gives 4.7 states/eV/f.u. Its crystal system is monoclinic. For the total magnetization, the calculation gives 0.00 μB per cell. The calculated volume is 785.3 Å³ per cell.


Here is a relaxed Tl2CuAuI5 crystal from the Alexandria database. Energies are from GGA-PBE.

a = 4.250 Å, b = 22.838 Å, c = 14.390 Å
α = 90.00°, β = 90.00°, γ = 90.00°
Space group Cmc2_1 (No. 36)
Symmetry-distinct sites (fractional):
Tl 0.000 0.102 0.000
Tl 0.000 0.104 0.653
Cu 0.000 0.432 0.813
Au 0.000 0.218 0.409
I 0.000 0.039 0.408
I 0.000 0.267 0.038
I 0.000 0.318 0.788
I 0.000 0.353 0.330
I 0.000 0.483 0.651

Properties
As for the total energy: -2.5075 eV/atom. For the density of states at the Fermi level, the calculation gives 7.2 states/eV/f.u. Its crystal system is orthorhombic. For the total magnetization, the calculation gives 0.00 μB per cell. The calculated volume is 1396.6 Å³ per cell.


Here is a relaxed Tl2CuAu2I6 crystal from the Alexandria database. Energies are from GGA-PBE.

a = 15.352 Å, b = 7.742 Å, c = 7.926 Å
α = 90.00°, β = 117.66°, γ = 90.00°
Space group C2/m (No. 12)
Symmetry-distinct sites (fractional):
Tl 0.245 0.000 0.216
Cu 0.000 0.500 0.000
Au 0.063 0.000 0.397
I 0.059 0.264 0.829
I 0.249 0.500 0.339

Properties
As for the total energy: -2.4663 eV/atom. For the density of states at the Fermi level, the calculation gives 4.5 states/eV/f.u. Its crystal system is monoclinic. For the total magnetization, the calculation gives 0.00 μB per cell. The calculated volume is 834.5 Å³ per cell.


Here is a relaxed Tl3Cu2AuI8 crystal from the Alexandria database. Energies are from GGA-PBE.

a = 8.0255 Å, b = 8.0255 Å, c = 9.8281 Å
α = 90.00°, β = 90.00°, γ = 120.00°
Space group P-3m1 (No. 164)
Symmetry-distinct sites (fractional):
Tl 0.0000 0.0000 0.0000
Tl 0.3333 0.6667 0.5952
Cu 0.3333 0.6667 0.1919
Au 0.0000 0.0000 0.5000
I 0.1652 0.3305 0.3164
I 0.3333 0.6667 0.9403

Properties
As for the total energy: -2.4767 eV/atom. For the density of states at the Fermi level, the calculation gives 7.0 states/eV/f.u. Its crystal system is trigonal. For the total magnetization, the calculation gives 0.00 μB per cell. The calculated volume is 548.2 Å³ per cell.


Here is a relaxed ZnCu2AuI crystal from the Alexandria database. Energies are from GGA-PBE.

a = 4.948 Å, b = 4.948 Å, c = 4.899 Å
α = 90.00°, β = 90.00°, γ = 90.00°
Space group P4/mmm (No. 123)
Symmetry-distinct sites (fractional):
Zn 0.000 0.000 0.000
Cu 0.000 0.500 0.500
Au 0.000 0.000 0.500
I 0.500 0.500 0.000

Properties
For the density of states at the Fermi level, the calculation gives 1.9 states/eV/f.u. Its crystal system is tetragonal. For the total magnetization, the calculation gives 0.00 μB per cell. The calculated volume is 119.9 Å³ per cell. The value obtained for the excess energy over the best structure of this formula in the dataset is 0.000 eV/atom.


Here is a relaxed ZnCu2AuI crystal from the Alexandria database. Energies are from GGA-PBE.

a = 4.473 Å, b = 4.473 Å, c = 6.255 Å
α = 90.00°, β = 90.00°, γ = 90.00°
Space group P4/mmm (No. 123)
Symmetry-distinct sites (fractional):
Zn 0.000 0.000 0.000
Cu 0.000 0.500 0.000
Au 0.500 0.500 0.500
I 0.000 0.000 0.500

Properties
For the density of states at the Fermi level, the calculation gives 1.6 states/eV/f.u. Its crystal system is tetragonal. For the total magnetization, the calculation gives 0.00 μB per cell. The calculated volume is 125.2 Å³ per cell. The value obtained for the excess energy over the best structure of this formula in the dataset is 0.317 eV/atom.


Here is a relaxed InCu6Au crystal from the Alexandria database. Energies are from GGA-PBE.

a = 5.4030 Å, b = 5.4030 Å, c = 4.4070 Å
α = 90.00°, β = 90.00°, γ = 120.00°
Space group P-6m2 (No. 187)
Symmetry-distinct sites (fractional):
In 0.0000 0.0000 0.0000
Cu 0.0135 0.5067 0.0000
Cu 0.1747 0.3494 0.5000
Au 0.6667 0.3333 0.5000

Properties
As for the total energy: -3.8481 eV/atom. For the density of states at the Fermi level, the calculation gives 0.7 states/eV/f.u. Its crystal system is hexagonal. For the total magnetization, the calculation gives 0.00 μB per cell. The calculated volume is 111.4 Å³ per cell.


Here is a relaxed In2CuAu5 crystal from the Alexandria database. Energies are from GGA-PBE.

a = 5.717 Å, b = 11.504 Å, c = 4.499 Å
α = 90.00°, β = 90.00°, γ = 90.00°
Space group Pbam (No. 55)
Symmetry-distinct sites (fractional):
In 0.189 0.142 0.000
Cu 0.000 0.500 0.500
Au 0.000 0.000 0.500
Au 0.042 0.739 0.500
Au 0.185 0.402 0.000

Properties
As for the total energy: -3.3357 eV/atom. For the density of states at the Fermi level, the calculation gives 1.7 states/eV/f.u. Its crystal system is orthorhombic. For the total magnetization, the calculation gives 0.00 μB per cell. The calculated volume is 295.9 Å³ per cell.


Here is a relaxed InCuAu2 crystal from the Alexandria database. Energies are from GGA-PBE.

a = 3.7770 Å, b = 3.7770 Å, c = 19.7834 Å
α = 90.00°, β = 90.00°, γ = 120.00°
Space group R3m (No. 160, hexagonal axes)
Symmetry-distinct sites (fractional):
In 0.0000 0.0000 0.0000
Cu 0.0000 0.0000 0.8331
Au 0.0000 0.0000 0.4261
Au 0.0000 0.0000 0.5735

Properties
As for the total energy: -3.3273 eV/atom. For the density of states at the Fermi level, the calculation gives 1.0 states/eV/f.u. Its crystal system is trigonal. For the total magnetization, the calculation gives 0.00 μB per cell. The calculated volume is 244.4 Å³ per cell.